Density functional theory data (GGA+U) for crystalline PmAlMo2O6 at its relaxed geometry.

a b c (Å): 5.789 5.789 5.789
angles (deg): 56.29 56.29 56.29
Element x y z (fractional)
1 Pm 0.000 0.000 0.000
2 Al 0.481 0.481 0.481
3 Mo 0.279 0.279 0.279
4 Mo 0.787 0.787 0.787
5 O 0.102 0.649 0.412
6 O 0.213 0.558 0.851
7 O 0.412 0.102 0.649
8 O 0.558 0.851 0.213
9 O 0.649 0.412 0.102
10 O 0.851 0.213 0.558

Calculated values
The calculation puts the total energy at -7.573 eV/atom. As for the symmetry: R3.

Density functional theory data (GGA+U) for crystalline Pr3Al2MoO9 at its relaxed geometry.

a b c (Å): 5.445 5.445 6.963
angles (deg): 90.00 90.00 120.00
Element x y z (fractional)
1 Pr 0.000 0.000 0.000
2 Pr 0.333 0.667 0.699
3 Pr 0.667 0.333 0.301
4 Al 0.333 0.667 0.163
5 Al 0.667 0.333 0.837
6 Mo 0.000 0.000 0.500
7 O 0.000 0.500 0.000
8 O 0.170 0.340 0.309
9 O 0.170 0.830 0.309
10 O 0.340 0.170 0.691
11 O 0.500 0.000 0.000
12 O 0.500 0.500 0.000
13 O 0.660 0.830 0.309
14 O 0.830 0.170 0.691
15 O 0.830 0.660 0.691

Calculated values
The calculation puts the total energy at -7.796 eV/atom. As for the symmetry: P-3m1.

Density functional theory data (GGA+U) for crystalline PrAlMoO6 at its relaxed geometry.

a b c (Å): 5.111 5.111 5.150
angles (deg): 90.00 90.00 120.00
Element x y z (fractional)
1 Pr 0.000 0.000 0.000
2 Al 0.333 0.667 0.500
3 Mo 0.667 0.333 0.500
4 O 0.004 0.377 0.709
5 O 0.004 0.627 0.291
6 O 0.373 0.377 0.291
7 O 0.373 0.996 0.709
8 O 0.623 0.627 0.709
9 O 0.623 0.996 0.291

Calculated values
The calculation puts the total energy at -7.554 eV/atom. As for the symmetry: P312.

Density functional theory data (GGA+U) for crystalline PrAl2MoO8 at its relaxed geometry.

a b c (Å): 4.613 4.613 6.546
angles (deg): 90.00 90.00 91.28
Element x y z (fractional)
1 Pr 0.000 0.000 0.000
2 Al 0.500 0.500 0.275
3 Al 0.500 0.500 0.725
4 Mo 0.000 0.000 0.500
5 O 0.210 0.210 0.292
6 O 0.210 0.210 0.708
7 O 0.302 0.698 0.500
8 O 0.346 0.654 0.000
9 O 0.654 0.346 0.000
10 O 0.698 0.302 0.500
11 O 0.790 0.790 0.292
12 O 0.790 0.790 0.708

Calculated values
The calculation puts the total energy at -7.202 eV/atom. As for the symmetry: Cmmm.

Density functional theory data (GGA+U) for crystalline AlMoPt2O at its relaxed geometry.

a b c (Å): 4.709 4.709 3.515
angles (deg): 90.00 90.00 90.00
Element x y z (fractional)
1 Al 0.000 0.000 0.000
2 Mo 0.500 0.500 0.000
3 Pt 0.000 0.500 0.500
4 Pt 0.500 0.000 0.500
5 O 0.000 0.000 0.500

Calculated values
The calculation puts the total energy at -5.633 eV/atom. As for the symmetry: P4/mmm.

Density functional theory data (GGA+U) for crystalline Rb5AlMo4O16 at its relaxed geometry.

a b c (Å): 6.134 8.882 10.932
angles (deg): 69.08 83.18 86.55
Element x y z (fractional)
1 Rb 0.000 0.000 0.000
2 Rb 0.012 0.499 0.207
3 Rb 0.082 0.599 0.838
4 Rb 0.445 0.718 0.273
5 Rb 0.593 0.357 0.748
6 Al 0.676 0.144 0.454
7 Mo 0.132 0.148 0.619
8 Mo 0.550 0.788 0.917
9 Mo 0.580 0.241 0.133
10 Mo 0.874 0.755 0.459
11 O 0.091 0.689 0.559
12 O 0.099 0.949 0.721
13 O 0.102 0.264 0.721
14 O 0.291 0.740 0.018
15 O 0.328 0.339 0.085
16 O 0.413 0.178 0.530
17 O 0.556 0.034 0.162
18 O 0.573 0.003 0.837
19 O 0.578 0.682 0.803
20 O 0.660 0.269 0.286
21 O 0.685 0.597 0.499
22 O 0.732 0.944 0.468
23 O 0.761 0.716 0.027
24 O 0.791 0.315 0.002
25 O 0.906 0.210 0.508
26 O 0.989 0.786 0.293

Calculated values
The calculation puts the total energy at -6.379 eV/atom. As for the symmetry: P1.

Density functional theory data (GGA+U) for crystalline AlReMoO2 at its relaxed geometry.

a b c (Å): 3.605 3.605 6.527
angles (deg): 90.00 90.00 90.00
Element x y z (fractional)
1 Al 0.000 0.000 0.000
2 Re 0.500 0.500 0.500
3 Mo 0.000 0.000 0.500
4 O 0.000 0.500 0.000
5 O 0.500 0.000 0.000

Calculated values
The calculation puts the total energy at -6.478 eV/atom. As for the symmetry: P4/mmm.

Density functional theory data (GGA+U) for crystalline AlMoRu2O at its relaxed geometry.

a b c (Å): 4.138 4.138 4.090
angles (deg): 90.00 90.00 90.00
Element x y z (fractional)
1 Al 0.000 0.000 0.000
2 Mo 0.500 0.500 0.000
3 Ru 0.000 0.500 0.500
4 Ru 0.500 0.000 0.500
5 O 0.500 0.500 0.500

Calculated values
The calculation puts the total energy at -6.757 eV/atom. As for the symmetry: P4/mmm.

Density functional theory data (GGA+U) for crystalline Sc2AlMoO6 at its relaxed geometry.

a b c (Å): 5.587 5.587 5.587
angles (deg): 56.18 56.18 56.18
Element x y z (fractional)
1 Sc 0.000 0.000 0.000
2 Sc 0.500 0.500 0.500
3 Al 0.708 0.708 0.708
4 Mo 0.208 0.208 0.208
5 O 0.076 0.441 0.806
6 O 0.332 0.904 0.609
7 O 0.441 0.806 0.076
8 O 0.609 0.332 0.904
9 O 0.806 0.076 0.441
10 O 0.904 0.609 0.332

Calculated values
The calculation puts the total energy at -8.205 eV/atom. As for the symmetry: R3.

Density functional theory data (GGA+U) for crystalline SmAl2MoO8 at its relaxed geometry.

a b c (Å): 4.618 4.618 6.418
angles (deg): 90.00 90.00 90.90
Element x y z (fractional)
1 Sm 0.000 0.000 0.000
2 Al 0.500 0.500 0.267
3 Al 0.500 0.500 0.733
4 Mo 0.000 0.000 0.500
5 O 0.209 0.209 0.288
6 O 0.209 0.209 0.712
7 O 0.303 0.697 0.500
8 O 0.340 0.660 0.000
9 O 0.660 0.340 0.000
10 O 0.697 0.303 0.500
11 O 0.791 0.791 0.288
12 O 0.791 0.791 0.712

Calculated values
The calculation puts the total energy at -7.236 eV/atom. As for the symmetry: Cmmm.

Density functional theory data (GGA+U) for crystalline SrAl2MoO6 at its relaxed geometry.

a b c (Å): 7.136 7.136 6.332
angles (deg): 105.67 105.67 104.88
Element x y z (fractional)
1 Sr 0.106 0.894 0.750
2 Sr 0.894 0.106 0.250
3 Al 0.302 0.442 0.829
4 Al 0.442 0.302 0.329
5 Al 0.558 0.698 0.671
6 Al 0.698 0.558 0.171
7 Mo 0.208 0.792 0.250
8 Mo 0.792 0.208 0.750
9 O 0.051 0.217 0.691
10 O 0.179 0.626 0.935
11 O 0.217 0.051 0.191
12 O 0.339 0.422 0.546
13 O 0.374 0.821 0.565
14 O 0.422 0.339 0.046
15 O 0.578 0.661 0.954
16 O 0.626 0.179 0.435
17 O 0.661 0.578 0.454
18 O 0.783 0.949 0.809
19 O 0.821 0.374 0.065
20 O 0.949 0.783 0.309

Calculated values
The calculation puts the total energy at -7.107 eV/atom. As for the symmetry: C2/c.

Density functional theory data (GGA+U) for crystalline Sr3Al2MoO8 at its relaxed geometry.

a b c (Å): 5.610 5.610 7.154
angles (deg): 90.00 90.00 120.00
Element x y z (fractional)
1 Sr 0.000 0.000 0.000
2 Sr 0.333 0.667 0.659
3 Sr 0.667 0.333 0.341
4 Al 0.333 0.667 0.214
5 Al 0.667 0.333 0.786
6 Mo 0.000 0.000 0.500
7 O 0.167 0.335 0.323
8 O 0.167 0.833 0.323
9 O 0.333 0.667 0.976
10 O 0.335 0.167 0.677
11 O 0.665 0.833 0.323
12 O 0.667 0.333 0.024
13 O 0.833 0.167 0.677
14 O 0.833 0.665 0.677

Calculated values
The calculation puts the total energy at -6.905 eV/atom. As for the symmetry: P-3m1.